(1)
This record from the Alexandria database describes a geometry-optimized Li2SmPO structure. The functional is PBE.

Calculated values
The space group is P4mm (99).

Unit cell a=4.074 b=4.074 c=4.743 alpha=90.00 beta=90.00 gamma=90.00
Fractional positions:
Li1 0.000 0.500 0.991
Li2 0.500 0.000 0.991
Sm1 0.000 0.000 0.497
P1 0.500 0.500 0.518
O1 0.000 0.000 0.004

(2)
This record from the Alexandria database describes a geometry-optimized LiSnPO4 structure. The functional is PBE.

Calculated values
The space group is P31c (159).

Unit cell a=7.959 b=7.959 c=10.265 alpha=90.00 beta=90.00 gamma=120.00
Fractional positions:
Li1 0.020 0.232 0.252
Li2 0.213 0.980 0.252
Li3 0.787 0.768 0.752
Li4 0.768 0.787 0.252
Li5 0.980 0.213 0.752
Li6 0.232 0.020 0.752
O1 0.773 0.227 0.307
O2 0.547 0.773 0.807
O3 0.000 0.000 0.151
O4 0.227 0.453 0.807
O5 0.228 0.453 0.144
O6 0.000 0.000 0.651
O7 0.888 0.099 0.944
O8 0.333 0.667 0.604
O9 0.225 0.772 0.144
O10 0.773 0.547 0.307
O11 0.211 0.112 0.944
O12 0.789 0.901 0.444
O13 0.099 0.888 0.444
O14 0.901 0.789 0.944
O15 0.667 0.333 0.104
O16 0.227 0.773 0.807
O17 0.453 0.228 0.644
O18 0.547 0.775 0.144
O19 0.333 0.667 0.346
O20 0.453 0.227 0.307
O21 0.112 0.211 0.444
O22 0.772 0.225 0.644
O23 0.667 0.333 0.846
O24 0.775 0.547 0.644
Sn1 0.430 0.424 0.974
Sn2 0.006 0.576 0.474
Sn3 0.424 0.430 0.474
Sn4 0.994 0.570 0.974
Sn5 0.570 0.994 0.474
Sn6 0.576 0.006 0.974
P1 0.000 0.000 0.500
P2 0.667 0.333 0.695
P3 0.667 0.333 0.254
P4 0.333 0.667 0.754
P5 0.333 0.667 0.195
P6 0.000 0.000 0.000

(3)
This record from the Alexandria database describes a geometry-optimized LiSnP4O12 structure. The functional is PBE.

Calculated values
Its energy above the most stable polymorph in this dataset is 61.5 meV per atom. The space group is P4_2/nnm (134).

Unit cell a=9.507 b=9.547 c=9.547 alpha=90.00 beta=90.00 gamma=90.00
Fractional positions:
O1 0.618 0.707 0.927
O2 0.382 0.707 0.073
O3 0.623 0.200 0.562
O4 0.618 0.293 0.073
O5 0.882 0.207 0.427
O6 0.073 0.611 0.611
O7 0.377 0.438 0.200
O8 0.066 0.116 0.884
O9 0.434 0.616 0.384
O10 0.427 0.889 0.889
O11 0.118 0.207 0.573
O12 0.377 0.562 0.800
O13 0.073 0.389 0.389
O14 0.927 0.611 0.389
O15 0.877 0.938 0.300
O16 0.123 0.300 0.062
O17 0.123 0.062 0.300
O18 0.566 0.616 0.616
O19 0.118 0.573 0.207
O20 0.118 0.427 0.793
O21 0.618 0.073 0.293
O22 0.377 0.800 0.562
O23 0.382 0.293 0.927
O24 0.934 0.884 0.884
O25 0.618 0.927 0.707
O26 0.877 0.062 0.700
O27 0.566 0.384 0.384
O28 0.934 0.116 0.116
O29 0.877 0.700 0.062
O30 0.377 0.200 0.438
O31 0.118 0.793 0.427
O32 0.623 0.562 0.200
O33 0.573 0.111 0.889
O34 0.066 0.884 0.116
O35 0.382 0.927 0.293
O36 0.882 0.573 0.793
O37 0.882 0.793 0.573
O38 0.927 0.389 0.611
O39 0.123 0.700 0.938
O40 0.573 0.889 0.111
O41 0.877 0.300 0.938
O42 0.623 0.800 0.438
O43 0.123 0.938 0.700
O44 0.427 0.111 0.111
O45 0.882 0.427 0.207
O46 0.623 0.438 0.800
O47 0.382 0.073 0.707
O48 0.434 0.384 0.616
P1 0.000 0.000 0.223
P2 0.000 0.284 0.500
P3 0.500 0.000 0.216
P4 0.000 0.500 0.284
P5 0.500 0.723 0.500
P6 0.000 0.777 0.000
P7 0.500 0.216 0.000
P8 0.500 0.277 0.500
P9 0.500 0.784 0.000
P10 0.500 0.500 0.277
P11 0.500 0.500 0.723
P12 0.000 0.500 0.716
P13 0.000 0.716 0.500
P14 0.000 0.223 0.000
P15 0.500 0.000 0.784
P16 0.000 0.000 0.777
Li1 0.750 0.750 0.750
Li2 0.750 0.250 0.250
Li3 0.250 0.250 0.750
Li4 0.250 0.750 0.250
Sn1 0.750 0.000 0.500
Sn2 0.750 0.500 0.000
Sn3 0.250 0.000 0.500
Sn4 0.250 0.500 0.000

(4)
This record from the Alexandria database describes a geometry-optimized Li5Sn5P6O24 structure. The functional is PBE.

Calculated values
The space group is P1 (1).

Unit cell a=8.910 b=8.607 c=9.525 alpha=66.66 beta=63.84 gamma=61.01
Fractional positions:
O1 0.562 0.760 0.232
O2 0.744 0.860 0.289
O3 0.416 0.894 0.471
O4 0.846 0.107 0.327
O5 0.189 0.626 0.717
O6 0.577 0.999 0.597
O7 0.425 0.553 0.215
O8 0.611 0.577 0.841
O9 0.719 0.334 0.697
O10 0.526 0.944 0.901
O11 0.821 0.425 0.258
O12 0.944 0.354 0.782
O13 0.108 0.204 0.110
O14 0.232 0.397 0.445
O15 0.892 0.700 0.944
O16 0.469 0.104 0.198
O17 0.027 0.942 0.771
O18 0.043 0.172 0.408
O19 0.825 0.598 0.557
O20 0.894 0.854 0.652
O21 0.354 0.241 0.755
O22 0.291 0.963 0.807
O23 0.170 0.527 0.172
O24 0.099 0.744 0.332
Sn1 0.636 0.668 0.007
Sn2 0.832 0.855 0.463
Sn3 0.346 0.298 0.995
Sn4 0.536 0.498 0.417
Sn5 0.007 0.075 0.949
P1 0.543 0.911 0.300
P2 0.440 0.037 0.761
P3 0.774 0.461 0.720
P4 0.225 0.551 0.292
P5 0.963 0.221 0.278
P6 0.004 0.773 0.771
Li1 0.914 0.631 0.173
Li2 0.166 0.423 0.664
Li3 0.886 0.121 0.622
Li4 0.253 0.171 0.418
Li5 0.314 0.804 0.689

(5)
This record from the Alexandria database describes a geometry-optimized Li4SnP2O8 structure. The functional is PBE.

Calculated values
The space group is P2_1/c (14).

Unit cell a=8.120 b=9.760 c=10.247 alpha=90.00 beta=90.00 gamma=83.21
Fractional positions:
Li1 0.739 0.480 0.924
Li2 0.276 0.218 0.667
Li3 0.724 0.782 0.333
Li4 0.103 0.624 0.835
Li5 0.261 0.520 0.076
Li6 0.436 0.410 0.838
Li7 0.064 0.590 0.338
Li8 0.936 0.410 0.662
Li9 0.761 0.520 0.424
Li10 0.564 0.590 0.162
Li11 0.224 0.782 0.167
Li12 0.776 0.218 0.833
Li13 0.603 0.624 0.665
Li14 0.897 0.376 0.165
Li15 0.397 0.376 0.335
Li16 0.239 0.480 0.576
P1 0.437 0.719 0.904
P2 0.563 0.281 0.096
P3 0.109 0.321 0.909
P4 0.609 0.321 0.591
P5 0.937 0.719 0.596
P6 0.391 0.679 0.409
P7 0.891 0.679 0.091
P8 0.063 0.281 0.404
O1 0.293 0.551 0.404
O2 0.567 0.641 0.349
O3 0.793 0.551 0.096
O4 0.538 0.589 0.846
O5 0.296 0.803 0.341
O6 0.433 0.359 0.651
O7 0.462 0.411 0.154
O8 0.389 0.693 0.047
O9 0.914 0.712 0.940
O10 0.707 0.449 0.596
O11 0.207 0.449 0.904
O12 0.727 0.244 0.178
O13 0.111 0.307 0.547
O14 0.933 0.359 0.849
O15 0.035 0.846 0.609
O16 0.414 0.712 0.560
O17 0.535 0.846 0.891
O18 0.038 0.589 0.654
O19 0.773 0.756 0.678
O20 0.086 0.288 0.060
O21 0.889 0.693 0.453
O22 0.204 0.197 0.841
O23 0.227 0.244 0.322
O24 0.465 0.154 0.109
O25 0.962 0.411 0.346
O26 0.611 0.307 0.953
O27 0.796 0.803 0.159
O28 0.965 0.154 0.391
O29 0.067 0.641 0.151
O30 0.273 0.756 0.822
O31 0.704 0.197 0.659
O32 0.586 0.288 0.440
Sn1 0.277 0.891 0.651
Sn2 0.223 0.109 0.151
Sn3 0.723 0.109 0.349
Sn4 0.777 0.891 0.849

(6)
This record from the Alexandria database describes a geometry-optimized LiSn2PO structure. The functional is PBE.

Calculated values
The space group is P4/mmm (123).

Unit cell a=5.243 b=4.376 c=5.243 alpha=90.00 beta=90.00 gamma=90.00
Fractional positions:
Li1 0.000 0.500 0.000
Sn1 0.500 0.000 0.000
Sn2 0.000 0.000 0.500
P1 0.000 0.000 0.000
O1 0.500 0.500 0.500

(7)
This record from the Alexandria database describes a geometry-optimized LiSn2P3O12 structure. The functional is PBE.

Calculated values
Its energy above the most stable polymorph in this dataset is 0.8 meV per atom. The space group is P2_1/c (14).

Unit cell a=8.610 b=8.844 c=12.249 alpha=90.00 beta=89.37 gamma=90.00
Fractional positions:
O1 0.704 0.982 0.720
O2 0.957 0.873 0.437
O3 0.824 0.266 0.185
O4 0.646 0.491 0.263
O5 0.796 0.482 0.780
O6 0.821 0.182 0.436
O7 0.116 0.792 0.174
O8 0.636 0.911 0.529
O9 0.427 0.811 0.098
O10 0.204 0.518 0.220
O11 0.927 0.689 0.598
O12 0.089 0.626 0.426
O13 0.296 0.018 0.280
O14 0.676 0.766 0.315
O15 0.354 0.509 0.737
O16 0.146 0.009 0.763
O17 0.321 0.318 0.936
O18 0.457 0.627 0.937
O19 0.193 0.947 0.956
O20 0.854 0.991 0.237
O21 0.543 0.373 0.063
O22 0.364 0.089 0.471
O23 0.693 0.553 0.456
O24 0.589 0.874 0.926
O25 0.384 0.292 0.326
O26 0.136 0.589 0.029
O27 0.073 0.311 0.402
O28 0.068 0.123 0.128
O29 0.574 0.089 0.327
O30 0.324 0.234 0.685
O31 0.411 0.126 0.074
O32 0.679 0.682 0.064
O33 0.807 0.053 0.044
O34 0.573 0.189 0.902
O35 0.911 0.374 0.574
O36 0.179 0.818 0.564
O37 0.864 0.411 0.971
O38 0.307 0.447 0.544
O39 0.426 0.911 0.673
O40 0.568 0.377 0.628
O41 0.926 0.589 0.173
O42 0.616 0.708 0.674
O43 0.932 0.877 0.872
O44 0.043 0.127 0.563
O45 0.884 0.208 0.826
O46 0.176 0.734 0.815
O47 0.074 0.411 0.827
O48 0.432 0.623 0.372
Sn1 0.750 0.031 0.881
Sn2 0.746 0.464 0.109
Sn3 0.246 0.036 0.609
Sn4 0.254 0.536 0.891
Sn5 0.250 0.469 0.381
Sn6 0.754 0.964 0.391
Sn7 0.250 0.969 0.119
Sn8 0.750 0.531 0.619
Li1 0.810 0.789 0.176
Li2 0.690 0.289 0.324
Li3 0.190 0.211 0.824
Li4 0.310 0.711 0.676
P1 0.891 0.110 0.146
P2 0.102 0.620 0.150
P3 0.534 0.751 0.006
P4 0.034 0.749 0.506
P5 0.609 0.610 0.354
P6 0.602 0.880 0.650
P7 0.898 0.380 0.850
P8 0.966 0.251 0.494
P9 0.398 0.120 0.350
P10 0.466 0.249 0.994
P11 0.109 0.890 0.854
P12 0.391 0.390 0.646

(8)
This record from the Alexandria database describes a geometry-optimized LiSnP4O12 structure. The functional is PBE.

Calculated values
Its energy above the most stable polymorph in this dataset is 22.1 meV per atom. The space group is Pbcn (60).

Unit cell a=8.513 b=9.975 c=13.011 alpha=90.00 beta=90.00 gamma=90.00
Fractional positions:
O1 0.839 0.021 0.681
O2 0.661 0.979 0.181
O3 0.679 0.870 0.561
O4 0.548 0.610 0.081
O5 0.339 0.021 0.819
O6 0.452 0.390 0.919
O7 0.425 0.064 0.271
O8 0.425 0.436 0.729
O9 0.604 0.129 0.855
O10 0.575 0.936 0.729
O11 0.839 0.479 0.319
O12 0.398 0.619 0.590
O13 0.321 0.370 0.561
O14 0.075 0.564 0.229
O15 0.679 0.630 0.439
O16 0.075 0.936 0.771
O17 0.104 0.371 0.355
O18 0.452 0.110 0.081
O19 0.821 0.130 0.061
O20 0.179 0.630 0.061
O21 0.952 0.390 0.581
O22 0.396 0.871 0.145
O23 0.898 0.619 0.910
O24 0.161 0.521 0.681
O25 0.602 0.381 0.410
O26 0.179 0.870 0.939
O27 0.396 0.629 0.855
O28 0.661 0.521 0.819
O29 0.604 0.371 0.145
O30 0.102 0.381 0.090
O31 0.048 0.890 0.581
O32 0.548 0.890 0.919
O33 0.896 0.629 0.645
O34 0.602 0.119 0.590
O35 0.398 0.881 0.410
O36 0.102 0.119 0.910
O37 0.821 0.370 0.939
O38 0.898 0.881 0.090
O39 0.161 0.979 0.319
O40 0.104 0.129 0.645
O41 0.896 0.871 0.355
O42 0.925 0.064 0.229
O43 0.925 0.436 0.771
O44 0.321 0.130 0.439
O45 0.048 0.610 0.419
O46 0.575 0.564 0.271
O47 0.952 0.110 0.419
O48 0.339 0.479 0.181
Sn1 0.884 0.750 0.500
Sn2 0.116 0.250 0.500
Sn3 0.384 0.750 0.000
Sn4 0.616 0.250 0.000
P1 0.978 0.496 0.662
P2 0.478 0.004 0.162
P3 0.831 0.493 0.870
P4 0.522 0.504 0.162
P5 0.022 0.996 0.662
P6 0.522 0.996 0.838
P7 0.022 0.504 0.338
P8 0.169 0.993 0.870
P9 0.331 0.007 0.370
P10 0.478 0.496 0.838
P11 0.669 0.507 0.370
P12 0.331 0.493 0.630
P13 0.978 0.004 0.338
P14 0.169 0.507 0.130
P15 0.669 0.993 0.630
P16 0.831 0.007 0.130
Li1 0.006 0.250 0.000
Li2 0.994 0.750 0.000
Li3 0.506 0.250 0.500
Li4 0.494 0.750 0.500

(9)
This record from the Alexandria database describes a geometry-optimized LiSnP2O structure. The functional is PBE.

Calculated values
Its energy above the most stable polymorph in this dataset is 43.1 meV per atom. The space group is P4/mmm (123).

Unit cell a=4.820 b=4.820 c=3.419 alpha=90.00 beta=90.00 gamma=90.00
Fractional positions:
O1 0.000 0.000 0.500
P1 0.000 0.500 0.000
P2 0.500 0.000 0.000
Li1 0.000 0.000 0.000
Sn1 0.500 0.500 0.500

Number 1: N(E_F) 0.51 states/eV per cell, total DFT energy (no corrections) -5.470 eV per atom, E_form (uncorrected) -1.687 eV per atom. Number 2: N(E_F) 0.00 states/eV per cell, total DFT energy (no corrections) -6.488 eV per atom, E_form (uncorrected) -2.036 eV per atom. Number 3: N(E_F) 12.38 states/eV per cell, total DFT energy (no corrections) -6.833 eV per atom, E_form (uncorrected) -1.997 eV per atom. Number 4: N(E_F) 0.28 states/eV per cell, total DFT energy (no corrections) -6.544 eV per atom, E_form (uncorrected) -2.018 eV per atom. Number 5: N(E_F) 0.00 states/eV per cell, total DFT energy (no corrections) -6.359 eV per atom, E_form (uncorrected) -2.216 eV per atom. Number 6: N(E_F) 1.58 states/eV per cell, total DFT energy (no corrections) -3.758 eV per atom, E_form (uncorrected) 0.300 eV per atom. Number 7: N(E_F) 0.00 states/eV per cell, total DFT energy (no corrections) -6.819 eV per atom, E_form (uncorrected) -2.060 eV per atom. Number 8: N(E_F) 12.03 states/eV per cell, total DFT energy (no corrections) -6.873 eV per atom, E_form (uncorrected) -2.036 eV per atom. Number 9: N(E_F) 4.52 states/eV per cell, total DFT energy (no corrections) -4.019 eV per atom, E_form (uncorrected) 0.320 eV per atom.